Entry 1:
DFT (GGA-PBE) results for Rb2PdPb6 after structural relaxation.

a = 6.774 Å, b = 7.136 Å, c = 7.136 Å
α = 60.02°, β = 90.00°, γ = 90.00°
Positions (direct):
Rb  0.850  0.666  0.666
Rb  0.150  0.334  0.334
Pd  0.000  0.000  0.000
Pb  0.314  0.324  0.838
Pb  0.314  0.838  0.838
Pb  0.314  0.838  0.324
Pb  0.686  0.676  0.162
Pb  0.686  0.162  0.162
Pb  0.686  0.162  0.676

Computed properties:
**Energy of formation from the pure elements**: -1.34 eV per formula unit
**M_tot**: 0.00 μB/f.u.
**ρ**: 8.5 g cm⁻³
**Crystal system**: trigonal

***

Entry 2:
DFT (GGA-PBE) results for Rb2PdPb2 after structural relaxation.

a = 7.456 Å, b = 7.456 Å, c = 6.266 Å
α = 90.00°, β = 90.00°, γ = 90.00°
Positions (direct):
Pb  0.354  0.854  0.000
Pb  0.854  0.646  0.000
Pb  0.646  0.146  0.000
Pb  0.146  0.354  0.000
Rb  0.182  0.682  0.500
Rb  0.682  0.818  0.500
Rb  0.818  0.318  0.500
Rb  0.318  0.182  0.500
Pd  0.000  0.000  0.000
Pd  0.500  0.500  0.000

Computed properties:
**Energy of formation from the pure elements**: -0.33 eV per formula unit
**M_tot**: 0.00 μB/f.u.
**Energy relative to the lowest polymorph listed for this composition**: 6.7 kJ/mol of atoms
**ρ**: 6.6 g cm⁻³
**Crystal system**: tetragonal

***

Entry 3:
DFT (GGA-PBE) results for RbPd3Pb3 after structural relaxation.

a = 7.657 Å, b = 7.657 Å, c = 7.657 Å
α = 90.00°, β = 90.00°, γ = 90.00°
Positions (direct):
Pb  0.250  0.000  0.500
Pb  0.000  0.500  0.250
Pb  0.500  0.750  0.000
Pb  0.750  0.000  0.500
Pb  0.000  0.500  0.750
Pb  0.500  0.250  0.000
Rb  0.500  0.500  0.500
Rb  0.000  0.000  0.000
Pd  0.000  0.250  0.500
Pd  0.000  0.750  0.500
Pd  0.500  0.000  0.750
Pd  0.750  0.500  0.000
Pd  0.500  0.000  0.250
Pd  0.250  0.500  0.000

Computed properties:
**Energy of formation from the pure elements**: -0.45 eV per formula unit
**M_tot**: 0.00 μB/f.u.
**Energy relative to the lowest polymorph listed for this composition**: 11.1 kJ/mol of atoms
**ρ**: 7.6 g cm⁻³
**Crystal system**: cubic

***

Entry 4:
DFT (GGA-PBE) results for RbPd2Pb after structural relaxation.

a = 8.125 Å, b = 8.125 Å, c = 6.755 Å
α = 53.03°, β = 53.03°, γ = 90.00°
Positions (direct):
Pb  0.000  0.000  0.000
Pb  0.750  0.250  0.500
Rb  0.500  0.500  0.000
Rb  0.250  0.750  0.500
Pd  0.690  0.125  0.250
Pd  0.060  0.625  0.250
Pd  0.375  0.310  0.750
Pd  0.875  0.940  0.750

Computed properties:
**Energy of formation from the pure elements**: 0.75 eV per formula unit
**M_tot**: 0.00 μB/f.u.
**ρ**: 7.2 g cm⁻³
**Crystal system**: tetragonal

***

Entry 5:
DFT (GGA-PBE) results for RbSbPdPb after structural relaxation.

a = 4.578 Å, b = 4.578 Å, c = 8.154 Å
α = 90.12°, β = 90.12°, γ = 60.01°
Positions (direct):
Rb  0.358  0.358  0.214
Sb  0.691  0.691  0.912
Pd  0.024  0.024  0.846
Pb  0.357  0.357  0.677

Computed properties:
**Formation energy (no corrections)**: -0.336 eV/atom
**M_tot**: 0.00 μB/f.u.
**ρ**: 5.8 g cm⁻³
**Crystal system**: monoclinic

***

Entry 6:
DFT (GGA-PBE) results for Rb2Sb3Pd4Pb after structural relaxation.

a = 4.829 Å, b = 4.829 Å, c = 10.989 Å
α = 90.00°, β = 90.00°, γ = 90.00°
Positions (direct):
Rb  0.500  0.000  0.245
Rb  0.000  0.500  0.755
Sb  0.000  0.000  0.500
Sb  0.500  0.000  0.885
Sb  0.000  0.500  0.115
Pd  0.500  0.500  0.000
Pd  0.000  0.000  0.000
Pd  0.500  0.000  0.634
Pd  0.000  0.500  0.366
Pb  0.500  0.500  0.500

Computed properties:
**Formation energy (no corrections)**: -0.378 eV/atom
**M_tot**: 0.00 μB/f.u.
**ρ**: 7.6 g cm⁻³
**Crystal system**: tetragonal